No. 1
4
Lattice="4.886 0.005 0.000 1.711 4.577 0.000 -3.299 -2.291 2.783" Properties=species:S:1:pos:R:3 comment="Mo2RhW PBE optimized geometry" formation_energy_ev_per_fu=0.43 relative_energy_kj_per_mol_atoms=9.4 pbc="T T T"
Rh 3.299 2.291 0.000
Mo 0.000 0.000 0.000
Mo 0.855 2.289 1.392
W 2.443 0.002 1.392

---

No. 2
5
Lattice="-1.791 -0.768 4.808 -1.693 -4.666 -1.376 4.560 -2.059 1.370" Properties=species:S:1:pos:R:3 comment="MnTlPPb2 PBE optimized geometry" formation_energy_ev_per_fu=3.03 pbc="T T T"
Pb -0.895 -0.384 2.404
Pb 2.280 -1.029 0.685
Mn 0.000 0.000 0.000
Tl -0.847 -2.333 -0.688
P 0.538 -3.746 2.401